{"formula": "CrCuRu2", "functional": "PBE-GGA", "state": "optimized geometry", "cell": [[-1.8338, 1.8338, 3.9017], [1.8338, -1.8338, 3.9017], [1.8338, 1.8338, -3.9017]], "species": ["Cr", "Cu", "Ru", "Ru"], "fractional_positions": [[0.0000, 0.0000, 0.0000], [0.7500, 0.2500, 0.5000], [0.2500, 0.7500, 0.5000], [0.5000, 0.5000, 0.0000]], "final_energy_ev_per_atom": -7.8393, "e_form_ev_per_atom": 0.23, "magnetic_moment_mub_per_cell": 1.53}